No. 1
# GGA+U YFeO2F, optimized geometry
data_YFeO2F
_chemical_formula_sum 'Y1 Fe1 O2 F1'
_cell_length_a 4.072
_cell_length_b 4.072
_cell_length_c 3.788
_cell_angle_alpha 90.00
_cell_angle_beta 90.00
_cell_angle_gamma 90.00
_symmetry_space_group_name_H-M 'P 1'
_symmetry_Int_Tables_number 1
loop_
_symmetry_equiv_pos_as_xyz
'x,y,z'
loop_
_atom_site_label
_atom_site_fract_x
_atom_site_fract_y
_atom_site_fract_z
_atom_site_occupancy
Y1 0.000 0.000 0.000 1
Fe1 0.500 0.500 0.500 1
O1 0.000 0.500 0.500 1
O2 0.500 0.000 0.500 1
F1 0.500 0.500 0.000 1
# * final energy: -6.94 eV/atom
# * magnetization: 3.939 μB per cell
# * calculated volume: 12.6 A^3/atom

=====

No. 2
# GGA+U YFeO2F, optimized geometry
data_YFeO2F
_chemical_formula_sum 'Y1 Fe1 O2 F1'
_cell_length_a 4.412
_cell_length_b 4.412
_cell_length_c 4.222
_cell_angle_alpha 90.00
_cell_angle_beta 90.00
_cell_angle_gamma 90.00
_symmetry_space_group_name_H-M 'P 1'
_symmetry_Int_Tables_number 1
loop_
_symmetry_equiv_pos_as_xyz
'x,y,z'
loop_
_atom_site_label
_atom_site_fract_x
_atom_site_fract_y
_atom_site_fract_z
_atom_site_occupancy
Y1 0.000 0.000 0.000 1
Fe1 0.500 0.500 0.500 1
O1 0.000 0.500 0.000 1
O2 0.500 0.000 0.000 1
F1 0.000 0.000 0.500 1
# * final energy: -6.67 eV/atom
# * magnetization: 3.993 μB per cell
# * calculated volume: 16.4 A^3/atom

=====

No. 3
# GGA+U ZnFeOF2, optimized geometry
data_ZnFeOF2
_chemical_formula_sum 'Zn1 Fe1 O1 F2'
_cell_length_a 3.910
_cell_length_b 3.910
_cell_length_c 4.082
_cell_angle_alpha 90.00
_cell_angle_beta 90.00
_cell_angle_gamma 90.00
_symmetry_space_group_name_H-M 'P 1'
_symmetry_Int_Tables_number 1
loop_
_symmetry_equiv_pos_as_xyz
'x,y,z'
loop_
_atom_site_label
_atom_site_fract_x
_atom_site_fract_y
_atom_site_fract_z
_atom_site_occupancy
Zn1 0.000 0.000 0.000 1
Fe1 0.500 0.500 0.500 1
O1 0.000 0.000 0.500 1
F1 0.000 0.500 0.000 1
F2 0.500 0.000 0.000 1
# * offset from the most stable computed form: 0.37 eV per formula unit
# * magnetization: 4.012 μB per cell
# * calculated volume: 12.5 A^3/atom

=====

Number 3 is which compound? ZnFeOF2